Entry 1:
Here is a relaxed MgAs2Pb crystal from the Alexandria database. Energies are from GGA-PBE.

abc: 3.7571 4.1183 12.4196
angles: 90.00 90.00 90.00
With the nearest neighbours (Å) after each atom.
Space group Imm2 (No. 44)
Inequivalent atoms, fractional coordinates:
Mg  0.0000  0.0000  0.0000  6 As 2.80-2.81
As  0.0000  0.0000  0.4744  4 Mg 2.81, 2 As 2.91
As  0.0000  0.5000  0.1530  2 Mg 2.80, 2 As 2.91
Pb  0.0000  0.5000  0.7699  6 As 3.14-3.16

Calculated values
energy of formation = -0.08 eV/atom

=====

Entry 2:
Here is a relaxed YAg2Rh crystal from the Alexandria database. Energies are from GGA-PBE.

abc: 3.9461 3.9461 20.9704
angles: 90.00 90.00 90.00
With the nearest neighbours (Å) after each atom.
Space group I-42d (No. 122)
Inequivalent atoms, fractional coordinates:
Y  0.0000  0.0000  0.0000  4 Rh 2.79, 4 Ag 2.99
Ag  0.2344  0.2500  0.6250  4 Ag 2.70-2.88, 2 Rh 2.95, 2 Y 2.99
Rh  0.0000  0.0000  0.5000  4 Y 2.79, 4 Ag 2.95

Calculated values
ΔE to the lowest computed polymorph = 248 meV/atom
energy of formation = -0.15 eV/atom

=====

Entry 3:
Here is a relaxed BaHfInSbO6 crystal from the Alexandria database. Energies are from GGA-PBE.

abc: 8.2715 8.2715 8.2715
angles: 90.00 90.00 90.00
With the nearest neighbours (Å) after each atom.
Space group F-43m (No. 216)
Inequivalent atoms, fractional coordinates:
Ba  0.0000  0.0000  0.0000  12 O 2.92
Hf  0.2500  0.2500  0.7500  6 O 2.10
In  0.0000  0.0000  0.5000  12 O 2.92
Sb  0.2500  0.2500  0.2500  6 O 2.03
O  0.0044  0.2500  0.2500  1 Sb 2.03, 1 Hf 2.10

Calculated values
uncorrected formation energy = -2.227 eV/atom

=====

Entry 4:
Here is a relaxed CaB5Ir6 crystal from the Alexandria database. Energies are from GGA-PBE.

abc: 5.4257 5.8232 6.3278
angles: 65.64 69.21 66.66
With the nearest neighbours (Å) after each atom.
Space group P-1 (No. 2)
Inequivalent atoms, fractional coordinates:
Ca  0.0000  0.0000  0.0000  6 B 2.73-3.04, 2 Ir 2.92
B  0.0000  0.5000  0.0000  4 Ir 2.04-2.12
B  0.2825  0.5825  0.3952  5 Ir 2.11-2.36
B  0.4597  0.0657  0.2355  5 Ir 2.09-2.20
Ir  0.0804  0.3712  0.3288  4 B 2.04-2.20
Ir  0.4066  0.2693  0.8880  4 B 2.09-2.16
Ir  0.4092  0.7843  0.5808  4 B 2.11-2.36

Calculated values
energy of formation = -0.26 eV/atom

=====

Entry 5:
Here is a relaxed MgOs2Br crystal from the Alexandria database. Energies are from GGA-PBE.

abc: 2.8540 4.9525 9.3626
angles: 90.00 90.00 90.00
With the nearest neighbours (Å) after each atom.
Space group Cmmm (No. 65)
Inequivalent atoms, fractional coordinates:
Mg  0.0000  0.0000  0.0000  4 Os 2.70, 6 Mg 2.85-2.86
Os  0.0000  0.5000  0.2444  2 Mg 2.70, 2 Br 2.79, 6 Os 2.85-2.86
Br  0.0000  0.0000  0.5000  4 Os 2.79, 6 Br 2.85-2.86

Calculated values
ΔE to the lowest computed polymorph = 756 meV/atom
uncorrected formation energy = 1.010 eV/atom

=====

no.,size of the total moment (μB per atom)
1,0.00
2,0.00
3,0.00
4,0.00
5,0.00